Cs2SmBiS4 | PBE | optimized geometry

Summary:
Crystal system: orthorhombic
Final energy (eV/atom): -4.571

```
data_Cs2SmBiS4
_chemical_formula_sum 'Cs8 Sm4 Bi4 S16'
_space_group_name_H-M_alt 'I m m a'
_space_group_IT_number 74
_space_group_name_Hall '-I 2b 2'
_cell_length_a 8.780
_cell_length_b 8.958
_cell_length_c 12.547
_cell_angle_alpha 90.00
_cell_angle_beta 90.00
_cell_angle_gamma 90.00
loop_
_atom_site_label
_atom_site_type_symbol
_atom_site_fract_x
_atom_site_fract_y
_atom_site_fract_z
Cs1 Cs 0.000 0.000 0.000
Cs2 Cs 0.250 0.250 0.250
Sm1 Sm 0.250 0.250 0.750
Bi1 Bi 0.000 0.000 0.500
S1 S 0.000 0.043 0.731
S2 S 0.213 0.250 0.522
```

Pr5Sm5Tm2 | PBE | optimized geometry

Summary:
Crystal system: monoclinic
Final energy (eV/atom): -4.685
E_form (eV per atom): 0.0185

```
data_Pr5Sm5Tm2
_chemical_formula_sum 'Pr10 Sm10 Tm4'
_space_group_name_H-M_alt 'C 1 2/m 1'
_space_group_IT_number 12
_space_group_name_Hall '-C 2y'
_cell_length_a 15.460
_cell_length_b 5.147
_cell_length_c 11.515
_cell_angle_alpha 90.00
_cell_angle_beta 116.54
_cell_angle_gamma 90.00
loop_
_atom_site_label
_atom_site_type_symbol
_atom_site_fract_x
_atom_site_fract_y
_atom_site_fract_z
Pr1 Pr 0.000 0.000 0.000
Pr2 Pr 0.164 0.000 0.499
Pr3 Pr 0.248 0.500 0.750
Sm1 Sm 0.000 0.500 0.500
Sm2 Sm 0.081 0.500 0.249
Sm3 Sm 0.167 0.500 0.000
Tm1 Tm 0.084 0.000 0.752
```

Sn2Pd2Ru | PBE | optimized geometry

Summary:
Crystal system: tetragonal
Final energy (eV/atom): -5.607
E_form (eV per atom): -0.0731

```
data_Sn2Pd2Ru
_chemical_formula_sum 'Sn4 Pd4 Ru2'
_space_group_name_H-M_alt 'P 4/m b m'
_space_group_IT_number 127
_space_group_name_Hall '-P 4 2ab'
_cell_length_a 7.603
_cell_length_b 7.603
_cell_length_c 3.179
_cell_angle_alpha 90.00
_cell_angle_beta 90.00
_cell_angle_gamma 90.00
loop_
_atom_site_label
_atom_site_type_symbol
_atom_site_fract_x
_atom_site_fract_y
_atom_site_fract_z
Sn1 Sn 0.163 0.337 0.000
Pd1 Pd 0.136 0.636 0.500
Ru1 Ru 0.000 0.000 0.000
```

Cs3Ce2NpTe6 | PBE | optimized geometry

Summary:
Crystal system: monoclinic
Final energy (eV/atom): -5.041

```
data_Cs3Ce2NpTe6
_chemical_formula_sum 'Cs6 Ce4 Np2 Te12'
_space_group_name_H-M_alt 'C 1 2/m 1'
_space_group_IT_number 12
_space_group_name_Hall '-C 2y'
_cell_length_a 8.126
_cell_length_b 14.074
_cell_length_c 9.318
_cell_angle_alpha 90.00
_cell_angle_beta 106.89
_cell_angle_gamma 90.00
loop_
_atom_site_label
_atom_site_type_symbol
_atom_site_fract_x
_atom_site_fract_y
_atom_site_fract_z
Cs1 Cs 0.000 0.000 0.000
Cs2 Cs 0.000 0.332 0.000
Ce1 Ce 0.000 0.166 0.500
Np1 Np 0.000 0.500 0.500
Te1 Te 0.229 0.335 0.692
Te2 Te 0.234 0.000 0.693
```

KSrSi | PBE | optimized geometry

Summary:
Crystal system: cubic
Relative energy among the computed polymorphs (meV/atom): 79
Final energy (eV/atom): -2.616

```
data_KSrSi
_chemical_formula_sum 'K4 Sr4 Si4'
_space_group_name_H-M_alt 'F -4 3 m'
_space_group_IT_number 216
_space_group_name_Hall 'F -4 2 3'
_cell_length_a 7.781
_cell_length_b 7.781
_cell_length_c 7.781
_cell_angle_alpha 90.00
_cell_angle_beta 90.00
_cell_angle_gamma 90.00
loop_
_atom_site_label
_atom_site_type_symbol
_atom_site_fract_x
_atom_site_fract_y
_atom_site_fract_z
K1 K 0.000 0.000 0.000
Sr1 Sr 0.000 0.000 0.500
Si1 Si 0.250 0.250 0.750
```

Pr2YErTm2 | PBE | optimized geometry

Summary:
Crystal system: orthorhombic
Final energy (eV/atom): -4.852
E_form (eV per atom): 0.0691

```
data_Pr2YErTm2
_chemical_formula_sum 'Pr4 Y2 Er2 Tm4'
_space_group_name_H-M_alt 'P m m a'
_space_group_IT_number 51
_space_group_name_Hall '-P 2a 2a'
_cell_length_a 7.035
_cell_length_b 5.648
_cell_length_c 9.803
_cell_angle_alpha 90.00
_cell_angle_beta 90.00
_cell_angle_gamma 90.00
loop_
_atom_site_label
_atom_site_type_symbol
_atom_site_fract_x
_atom_site_fract_y
_atom_site_fract_z
Pr1 Pr 0.000 0.000 0.000
Pr2 Pr 0.250 0.500 0.176
Y1 Y 0.000 0.500 0.500
Er1 Er 0.250 0.000 0.661
Tm1 Tm 0.250 0.000 0.334
Tm2 Tm 0.250 0.500 0.835
```

Li2PuCoH8 | PBE | optimized geometry

Summary:
Crystal system: trigonal
Final energy (eV/atom): -4.648

```
data_Li2PuCoH8
_chemical_formula_sum 'Li2 Pu1 Co1 H8'
_space_group_name_H-M_alt 'P -3 m 1'
_space_group_IT_number 164
_space_group_name_Hall '-P 3 2"'
_cell_length_a 4.2574
_cell_length_b 4.2574
_cell_length_c 5.9019
_cell_angle_alpha 90.00
_cell_angle_beta 90.00
_cell_angle_gamma 120.00
loop_
_atom_site_label
_atom_site_type_symbol
_atom_site_fract_x
_atom_site_fract_y
_atom_site_fract_z
Li1 Li 0.3333 0.6667 0.3844
Pu1 Pu 0.0000 0.0000 0.0000
Co1 Co 0.0000 0.0000 0.5000
H1 H 0.1654 0.3308 0.6582
H2 H 0.3333 0.6667 0.0482
```

CsS2NO4F2 | PBE | optimized geometry

Summary:
Crystal system: monoclinic
Final energy (eV/atom): -5.490

```
data_CsS2NO4F2
_chemical_formula_sum 'Cs4 S8 N4 O16 F8'
_space_group_name_H-M_alt 'P 1 21/c 1'
_space_group_IT_number 14
_space_group_name_Hall '-P 2ybc'
_cell_length_a 8.074
_cell_length_b 8.752
_cell_length_c 12.330
_cell_angle_alpha 90.00
_cell_angle_beta 120.08
_cell_angle_gamma 90.00
loop_
_atom_site_label
_atom_site_type_symbol
_atom_site_fract_x
_atom_site_fract_y
_atom_site_fract_z
Cs1 Cs 0.227 0.249 0.085
S1 S 0.209 0.601 0.345
S2 S 0.366 0.693 0.042
N1 N 0.384 0.704 0.442
O1 O 0.093 0.536 0.393
O2 O 0.191 0.606 0.993
O3 O 0.274 0.507 0.279
O4 O 0.453 0.120 0.380
F1 F 0.066 0.724 0.242
F2 F 0.349 0.683 0.635
```

Look up the final energy of the sixth one. -4.852 eV/atom

Among the records above, which one has the lowest final energy? Sn2Pd2Ru